[1]
Computed, not measured: an optimized crystal structure of DyScHg at the GGA-PBE level of DFT.

The structure in POSCAR format:
```
DyScHg
1.0
0.0000 3.4828 3.4828
3.4828 0.0000 3.4828
3.4828 3.4828 0.0000
Dy Hg Sc
1 1 1
Direct
0.0000 0.0000 0.0000
0.2500 0.2500 0.2500
0.7500 0.7500 0.7500
```

Values from the calculation:
- E_form (meV per atom) = 414.9
- crystal system = cubic
- magnetic moment (μB per formula unit) = 0.00
- energy above the lowest structure with this stoichiometry (eV/atom) = 0.503

[2]
Computed, not measured: an optimized crystal structure of SmDy2Hg5 at the GGA-PBE level of DFT.

The structure in POSCAR format:
```
SmDy2Hg5
1.0
6.9883 -1.3069 4.0577
0.7554 -1.6479 7.9826
-4.1281 -2.1292 -6.7405
Dy Hg Sm
2 5 1
Direct
0.2662 0.2662 0.0000
0.7338 0.7338 0.0000
0.5000 0.5000 0.0000
0.6267 0.1267 0.5000
0.8733 0.3733 0.5000
0.1267 0.6267 0.5000
0.3733 0.8733 0.5000
0.0000 0.0000 0.0000
```

Values from the calculation:
- E_form (meV per atom) = -439.8
- crystal system = tetragonal
- magnetic moment (μB per formula unit) = 0.00

[3]
Computed, not measured: an optimized crystal structure of SmDyHg6 at the GGA-PBE level of DFT.

The structure in POSCAR format:
```
SmDyHg6
1.0
6.6597 0.0000 0.0000
-3.3299 5.7675 0.0000
0.0000 0.0000 4.9975
Dy Hg Sm
1 6 1
Direct
0.0000 0.0000 0.0000
0.5030 0.0060 0.0000
0.5030 0.4970 0.0000
0.9940 0.4970 0.0000
0.3322 0.1661 0.5000
0.8339 0.1661 0.5000
0.8339 0.6678 0.5000
0.3333 0.6667 0.5000
```

Values from the calculation:
- E_form (meV per atom) = -364.0
- crystal system = hexagonal
- magnetic moment (μB per formula unit) = 0.01

[4]
Computed, not measured: an optimized crystal structure of SrDy2Hg3 at the GGA-PBE level of DFT.

The structure in POSCAR format:
```
SrDy2Hg3
1.0
-0.8539 -2.1652 2.9698
1.7864 -2.9091 -1.6073
9.7856 3.1755 5.1289
Dy Hg Sr
2 3 1
Direct
0.5000 0.5000 0.1587
0.5000 0.5000 0.8413
0.0000 0.0000 0.0000
0.0000 0.0000 0.3080
0.0000 0.0000 0.6920
0.5000 0.5000 0.5000
```

Values from the calculation:
- crystal system = tetragonal
- magnetic moment (μB per formula unit) = 0.00
- raw total energy (Ry per atom) = -0.1810

[5]
Computed, not measured: an optimized crystal structure of DyTa4Hg3 at the GGA-PBE level of DFT.

The structure in POSCAR format:
```
DyTa4Hg3
1.0
-2.0248 2.0248 10.6235
2.0248 -2.0248 10.6235
2.0248 2.0248 -10.6235
Dy Hg Ta
1 3 4
Direct
0.0000 0.0000 0.0000
0.5000 0.5000 0.0000
0.7500 0.2500 0.5000
0.2500 0.7500 0.5000
0.8758 0.3782 0.0000
0.3782 0.8758 0.0000
0.6218 0.6218 0.4976
0.1242 0.1242 0.5024
```

Values from the calculation:
- E_form (meV per atom) = 716.5
- crystal system = tetragonal
- magnetic moment (μB per formula unit) = 0.23

[6]
Computed, not measured: an optimized crystal structure of DyTaHg at the GGA-PBE level of DFT.

The structure in POSCAR format:
```
DyTaHg
1.0
3.9804 -2.5755 1.1779
-0.3931 -3.9183 2.8908
0.6496 -4.4747 -1.8492
Dy Hg Ta
1 1 1
Direct
0.0000 0.0000 0.0000
0.2500 0.2500 0.2500
0.7500 0.7500 0.7500
```

Values from the calculation:
- E_form (meV per atom) = 1181.2
- crystal system = cubic
- magnetic moment (μB per formula unit) = 2.61

[7]
Computed, not measured: an optimized crystal structure of Dy6Tc2Hg at the GGA-PBE level of DFT.

The structure in POSCAR format:
```
Dy6Tc2Hg
1.0
-4.7686 4.7735 5.1322
4.7686 -4.7735 5.1322
4.7686 4.7735 -5.1322
Dy Hg Tc
12 2 4
Direct
0.8111 0.2831 0.0942
0.4440 0.2335 0.2104
0.9769 0.7665 0.2104
0.3174 0.6103 0.2929
0.6826 0.9754 0.2929
0.1889 0.2831 0.4719
0.8111 0.7169 0.5281
0.3174 0.0246 0.7071
0.6826 0.3897 0.7071
0.0231 0.2335 0.7896
0.5560 0.7665 0.7896
0.1889 0.7169 0.9058
0.0000 0.0000 0.0000
0.5000 0.5000 0.0000
0.3707 0.0000 0.3707
0.8834 0.3834 0.5000
0.1166 0.6166 0.5000
0.6293 0.0000 0.6293
```

Values from the calculation:
- E_form (meV per atom) = -173.2
- crystal system = orthorhombic
- magnetic moment (μB per formula unit) = 0.01

[8]
Computed, not measured: an optimized crystal structure of DyHgTe at the GGA-PBE level of DFT.

The structure in POSCAR format:
```
DyHgTe
1.0
-3.5638 -2.8196 2.3596
0.0030 -0.3799 5.1063
-3.6729 2.2856 2.7394
Dy Hg Te
1 1 1
Direct
0.0000 0.0000 0.0000
0.2500 0.2500 0.2500
0.7500 0.7500 0.7500
```

Values from the calculation:
- crystal system = cubic
- magnetic moment (μB per formula unit) = 0.06
- energy above the lowest structure with this stoichiometry (eV/atom) = 0.000

[9]
Computed, not measured: an optimized crystal structure of DyHgTe at the GGA-PBE level of DFT.

The structure in POSCAR format:
```
DyHgTe
1.0
-3.7695 -3.3058 -1.2145
-4.6486 0.4723 2.1863
-4.0221 1.5935 -2.8101
Dy Hg Te
1 1 1
Direct
0.2500 0.2500 0.2500
0.7500 0.7500 0.7500
0.0000 0.0000 0.0000
```

Values from the calculation:
- crystal system = cubic
- magnetic moment (μB per formula unit) = 0.01
- energy above the lowest structure with this stoichiometry (eV/atom) = 0.186

[10]
Computed, not measured: an optimized crystal structure of DyTlHgTe3 at the GGA-PBE level of DFT.

The structure in POSCAR format:
```
DyTlHgTe3
1.0
-7.8249 -4.1144 -1.1018
1.7560 -3.8603 1.9447
-5.4652 5.9233 16.6932
Dy Hg Te Tl
4 4 12 4
Direct
0.7760 0.2500 0.0395
0.2760 0.2500 0.4605
0.7240 0.7500 0.5395
0.2240 0.7500 0.9605
0.4558 0.2500 0.1636
0.9558 0.2500 0.3364
0.0442 0.7500 0.6636
0.5442 0.7500 0.8364
0.1264 0.2500 0.0570
0.5046 0.7500 0.0727
0.7887 0.2500 0.2060
0.2887 0.2500 0.2940
0.0046 0.7500 0.4273
0.6264 0.2500 0.4430
0.3736 0.7500 0.5570
0.9954 0.2500 0.5727
0.7113 0.7500 0.7060
0.2113 0.7500 0.7940
0.4954 0.2500 0.9273
0.8736 0.7500 0.9430
0.0834 0.7500 0.1932
0.5834 0.7500 0.3068
0.4166 0.2500 0.6932
0.9166 0.2500 0.8068
```

Values from the calculation:
- crystal system = orthorhombic
- magnetic moment (μB per formula unit) = 0.00
- energy above the lowest structure with this stoichiometry (eV/atom) = 0.084

[11]
Computed, not measured: an optimized crystal structure of DyTlHgTe3 at the GGA-PBE level of DFT.

The structure in POSCAR format:
```
DyTlHgTe3
1.0
-6.6931 -6.6933 3.2634
-3.1192 -7.6763 5.6207
-1.6806 7.4817 5.6680
Dy Hg Te Tl
2 2 6 2
Direct
0.1747 0.1747 0.0884
0.8253 0.8253 0.9116
0.5377 0.5377 0.2222
0.4623 0.4623 0.7778
0.0000 0.0000 0.0000
0.3330 0.3330 0.1362
0.6876 0.6876 0.3212
0.5000 0.5000 0.5000
0.3124 0.3124 0.6788
0.6670 0.6670 0.8638
0.8670 0.8670 0.4225
0.1330 0.1330 0.5775
```

Values from the calculation:
- crystal system = monoclinic
- magnetic moment (μB per formula unit) = 0.01
- energy above the lowest structure with this stoichiometry (eV/atom) = 0.066

[12]
Computed, not measured: an optimized crystal structure of DyTlHgTe3 at the GGA-PBE level of DFT.

The structure in POSCAR format:
```
DyTlHgTe3
1.0
15.2373 0.0000 0.0000
0.0000 4.4590 0.0000
0.0000 0.0000 11.8604
Dy Hg Te Tl
4 4 12 4
Direct
0.9745 0.7500 0.1570
0.4745 0.7500 0.3430
0.5255 0.2500 0.6570
0.0255 0.2500 0.8430
0.4800 0.2500 0.1067
0.9800 0.2500 0.3933
0.0200 0.7500 0.6067
0.5200 0.7500 0.8933
0.1008 0.2500 0.0794
0.6008 0.7500 0.1256
0.8432 0.2500 0.2315
0.3432 0.2500 0.2685
0.1008 0.7500 0.3744
0.6008 0.2500 0.4206
0.3992 0.7500 0.5794
0.8992 0.2500 0.6256
0.6568 0.7500 0.7315
0.1568 0.7500 0.7685
0.3992 0.2500 0.8744
0.8992 0.7500 0.9206
0.2628 0.7500 0.0519
0.7628 0.7500 0.4481
0.2372 0.2500 0.5519
0.7372 0.2500 0.9481
```

Values from the calculation:
- crystal system = orthorhombic
- magnetic moment (μB per formula unit) = 0.00
- energy above the lowest structure with this stoichiometry (eV/atom) = 0.012